Version a
Here is a crystal of YBeRu relaxed with PBEsol from the Alexandria database. Energies are from meta-GGA SCAN.

Cell lengths 4.3527, 4.3527, 4.3527 Å; angles 60.00, 60.00, 60.00 degrees
Fractional positions:
Ru  0.5000  0.5000  0.5000
Be  0.0000  0.0000  0.0000
Y  0.2500  0.2500  0.2500

Computed properties:
Symmetry: F-43m (216)



Version b
Here is a crystal of YBeRu relaxed with PBEsol from the Alexandria database. Energies are from meta-GGA SCAN.

Cell lengths 3.6480, 3.9737, 3.9737 Å; angles 120.00, 90.00, 90.00 degrees
Fractional positions:
Y  0.5000  0.3333  0.6667
Be  0.0000  0.0000  0.0000
Ru  0.0000  0.6667  0.3333

Computed properties:
Symmetry: P-6m2 (187)



Top of the stability list: version b, leading by 1368 meV/atom.



Version a
Here is a crystal of BeZnS2 relaxed with PBEsol from the Alexandria database. Energies are from meta-GGA SCAN.

Cell lengths 3.6059, 3.6059, 6.2757 Å; angles 73.30, 73.30, 60.00 degrees
Fractional positions:
S  0.3828  0.3828  0.8517
S  0.8688  0.8688  0.3935
Be  0.4999  0.4999  0.5004
Zn  0.9985  0.9985  0.0044

Computed properties:
Symmetry: R3m (160)



Version b
Here is a crystal of BeZnS2 relaxed with PBEsol from the Alexandria database. Energies are from meta-GGA SCAN.

Cell lengths 5.1188, 5.1188, 6.1975 Å; angles 114.39, 114.39, 90.00 degrees
Fractional positions:
Be  0.5000  0.5000  0.0000
S  0.1250  0.1597  0.7500
S  0.6250  0.5903  0.7500
Zn  0.2500  0.7500  0.5000
S  0.4097  0.8750  0.2500
Zn  0.0000  0.0000  0.0000
S  0.8403  0.3750  0.2500
Be  0.7500  0.2500  0.5000

Computed properties:
Symmetry: I-42d (122)



Version c
Here is a crystal of BeZnS2 relaxed with PBEsol from the Alexandria database. Energies are from meta-GGA SCAN.

Cell lengths 3.7654, 3.7654, 6.6375 Å; angles 73.52, 73.52, 60.00 degrees
Fractional positions:
Zn  0.5000  0.5000  0.5000
S  0.1002  0.1002  0.6995
Be  0.0000  0.0000  0.0000
S  0.8998  0.8998  0.3005

Computed properties:
Symmetry: R-3m (166)



Top of the stability list: version b, leading by 37 meV/atom.



Version a
Here is a crystal of Be2Sb relaxed with PBEsol from the Alexandria database. Energies are from meta-GGA SCAN.

Cell lengths 4.5857, 4.5857, 4.9543 Å; angles 90.00, 90.00, 120.00 degrees
Fractional positions:
Be  0.0000  0.0000  0.0000
Be  0.0000  0.0000  0.5000
Sb  0.3333  0.6667  0.7500
Be  0.3333  0.6667  0.2500
Be  0.6667  0.3333  0.7500
Sb  0.6667  0.3333  0.2500

Computed properties:
Symmetry: P6_3/mmc (194)



Version b
Here is a crystal of Be2Sb relaxed with PBEsol from the Alexandria database. Energies are from meta-GGA SCAN.

Cell lengths 3.5642, 3.7112, 3.7112 Å; angles 120.00, 90.00, 90.00 degrees
Fractional positions:
Be  0.5000  0.6667  0.3333
Be  0.5000  0.3333  0.6667
Sb  0.0000  0.0000  0.0000

Computed properties:
Symmetry: P6/mmm (191)



Version c
Here is a crystal of Be2Sb relaxed with PBEsol from the Alexandria database. Energies are from meta-GGA SCAN.

Cell lengths 3.0145, 3.0145, 5.4155 Å; angles 106.16, 106.16, 90.00 degrees
Fractional positions:
Be  0.2823  0.2823  0.5647
Sb  0.0000  0.0000  0.0000
Be  0.7177  0.7177  0.4353

Computed properties:
Symmetry: I4/mmm (139)



Top of the stability list: version b, leading by 151 meV/atom.



Version a
Here is a crystal of BeSb3 relaxed with PBEsol from the Alexandria database. Energies are from meta-GGA SCAN.

Cell lengths 3.8331, 3.8331, 7.3343 Å; angles 90.00, 90.00, 120.00 degrees
Fractional positions:
Sb  0.3333  0.6667  0.2033
Sb  0.0000  0.0000  0.5000
Sb  0.3333  0.6667  0.7967
Be  0.0000  0.0000  0.0000

Computed properties:
Symmetry: P-6m2 (187)



Version b
Here is a crystal of BeSb3 relaxed with PBEsol from the Alexandria database. Energies are from meta-GGA SCAN.

Cell lengths 3.2652, 3.2652, 8.8168 Å; angles 90.00, 90.00, 108.03 degrees
Fractional positions:
Sb  0.0000  0.0000  0.5000
Sb  0.5000  0.5000  0.1897
Be  0.0000  0.0000  0.0000
Sb  0.5000  0.5000  0.8103

Computed properties:
Symmetry: Cmmm (65)



Top of the stability list: version a, leading by 64 meV/atom.